[1]
Entry from Alexandria via LeMat-Bulk: a relaxed structure of MgTiSeO5 (GGA-PBE).

The calculation puts the raw total energy at -214.01 eV for the cell shown. The uncorrected formation energy is -1967 meV per atom. Its magnetization is 0.00 μB/f.u.

The space group is C2/c (No. 15) and the conventional cell measures 7.6548, 7.8925 and 7.6730 Å, with angles of 90.00, 118.73 and 90.00 degrees. The inequivalent atoms are Mg at (0.0000, 0.0454, 0.2500), Ti at (0.2500, 0.2500, 0.0000), Se at (0.0000, 0.4205, 0.2500), O at (0.0000, 0.2313, 0.7500), O at (0.0900, 0.2614, 0.1540) and O at (0.2399, 0.0042, 0.0106).

***

[2]
Entry from Alexandria via LeMat-Bulk: a relaxed structure of MgTl2Se2O6 (GGA-PBE).

The calculation puts the raw total energy at -111.51 eV for the cell shown. The uncorrected formation energy is -1155 meV per atom. Its magnetization is 0.00 μB/f.u.

The space group is C2/m (No. 12) and the conventional cell measures 9.3572, 5.8542 and 7.4614 Å, with angles of 90.00, 108.61 and 90.00 degrees. The inequivalent atoms are Mg at (0.0000, 0.0000, 0.0000), Tl at (0.2233, 0.0000, 0.6845), Se at (0.0968, 0.5000, 0.7633), O at (0.0079, 0.2690, 0.2024) and O at (0.2381, 0.0000, 0.0502).

***

[3]
Entry from Alexandria via LeMat-Bulk: a relaxed structure of MgTl3Se2O6 (GGA-PBE).

The calculation puts the raw total energy at -56.88 eV for the cell shown. The uncorrected formation energy is -955 meV per atom. Its magnetization is 0.65 μB/f.u.

The space group is P-3m1 (No. 164) and the conventional cell measures 5.8098, 5.8098 and 7.9479 Å, with angles of 90.00, 90.00 and 120.00 degrees. The inequivalent atoms are Mg at (0.0000, 0.0000, 0.0000), Tl at (0.0000, 0.0000, 0.5000), Tl at (0.3333, 0.6667, 0.2024), Se at (0.3333, 0.6667, 0.7547) and O at (0.1763, 0.3526, 0.8458).

***

[4]
Entry from Alexandria via LeMat-Bulk: a relaxed structure of MgTl2SeO6 (GGA-PBE).

The calculation puts the raw total energy at -48.05 eV for the cell shown. The uncorrected formation energy is -849 meV per atom. Its magnetization is 0.00 μB/f.u.

The space group is P-3m1 (No. 164) and the conventional cell measures 5.7136, 5.7136 and 5.3577 Å, with angles of 90.00, 90.00 and 120.00 degrees. The inequivalent atoms are Mg at (0.0000, 0.0000, 0.0000), Tl at (0.3333, 0.6667, 0.3855), Se at (0.0000, 0.0000, 0.5000) and O at (0.1471, 0.2943, 0.7081).

***

[5]
Entry from Alexandria via LeMat-Bulk: a relaxed structure of MgSiO2 (GGA-PBE).

The calculation puts the raw total energy at -70.01 eV for the cell shown. Its energy above the lowest structure with this stoichiometry is 427 meV per atom. The uncorrected formation energy is -1601 meV per atom. Its magnetization is 0.00 μB/f.u.

The space group is R-3m (No. 166, hexagonal axes) and the conventional cell measures 2.7919, 2.7919 and 21.8240 Å, with angles of 90.00, 90.00 and 120.00 degrees. The inequivalent atoms are Mg at (0.0000, 0.0000, 0.0000), Si at (0.0000, 0.0000, 0.5000) and O at (0.0000, 0.0000, 0.1256).

***

[6]
Entry from Alexandria via LeMat-Bulk: a relaxed structure of Mg4SiO6 (GGA-PBE).

The calculation puts the raw total energy at -283.56 eV for the cell shown. The uncorrected formation energy is -2667 meV per atom. Its magnetization is 0.00 μB/f.u.

The space group is Cc (No. 9) and the conventional cell measures 9.9443, 5.6903 and 10.0898 Å, with angles of 90.00, 110.89 and 90.00 degrees. The inequivalent atoms are Mg at (0.0000, 0.0900, 0.0000), Mg at (0.1356, 0.2881, 0.3418), Mg at (0.3163, 0.3877, 0.6812), Mg at (0.3450, 0.1103, 0.9891), Si at (0.0709, 0.2230, 0.7481), O at (0.1266, 0.4635, 0.6940), O at (0.1324, 0.0197, 0.2013), O at (0.1348, 0.2356, 0.9216), O at (0.3239, 0.2392, 0.5028), O at (0.3961, 0.2914, 0.1710) and O at (0.4498, 0.2897, 0.8784).

***

[7]
Entry from Alexandria via LeMat-Bulk: a relaxed structure of MgSi3O (GGA-PBE).

The calculation puts the raw total energy at -22.37 eV for the cell shown. Its energy above the lowest structure with this stoichiometry is 0 meV per atom. The uncorrected formation energy is 90 meV per atom. Its magnetization is 0.00 μB/f.u.

The space group is Pm-3m (No. 221) and the conventional cell measures 4.2328, 4.2328 and 4.2328 Å, with angles of 90.00, 90.00 and 90.00 degrees. The inequivalent atoms are Mg at (0.0000, 0.0000, 0.0000), Si at (0.0000, 0.5000, 0.5000) and O at (0.5000, 0.5000, 0.5000).

***

[8]
Entry from Alexandria via LeMat-Bulk: a relaxed structure of Mg2SiO4 (GGA-PBE).

The calculation puts the raw total energy at -93.31 eV for the cell shown. Its energy above the lowest structure with this stoichiometry is 223 meV per atom. The uncorrected formation energy is -2602 meV per atom. Its magnetization is 0.00 μB/f.u.

The space group is P-3m1 (No. 164) and the conventional cell measures 6.1546, 6.1546 and 4.7700 Å, with angles of 90.00, 90.00 and 120.00 degrees. The inequivalent atoms are Mg at (0.0000, 0.0000, 0.0000), Mg at (0.0000, 0.5000, 0.0000), Si at (0.3333, 0.6667, 0.6016), O at (0.1911, 0.3821, 0.7599) and O at (0.3333, 0.6667, 0.2631).

***

[9]
Entry from Alexandria via LeMat-Bulk: a relaxed structure of MgSiO (GGA-PBE).

The calculation puts the raw total energy at -32.42 eV for the cell shown. Its energy above the lowest structure with this stoichiometry is 16 meV per atom. The uncorrected formation energy is -1411 meV per atom. Its magnetization is 0.00 μB/f.u.

The space group is Pm (No. 6) and the conventional cell measures 5.0591, 3.3296 and 5.5228 Å, with angles of 90.00, 111.52 and 90.00 degrees. The inequivalent atoms are Mg at (0.0000, 0.0000, 0.0000), Mg at (0.1173, 0.5000, 0.5467), Si at (0.5050, 0.5000, 0.1048), Si at (0.5290, 0.0000, 0.4256), O at (0.8639, 0.5000, 0.1287) and O at (0.8918, 0.0000, 0.6157).

***

Q: Among the records above, which one has the lowest uncorrected formation energy?
A: Mg4SiO6

***

Q: raw total energy of number 3 (MgTl3Se2O6)?
A: -56.88 eV for the cell shown

***

What did the fourth record say?
Entry from Alexandria via LeMat-Bulk: a relaxed structure of MgTl2SeO6 (GGA-PBE).

The calculation puts the raw total energy at -48.05 eV for the cell shown. The uncorrected formation energy is -849 meV per atom. Its magnetization is 0.00 μB/f.u.

The space group is P-3m1 (No. 164) and the conventional cell measures 5.7136, 5.7136 and 5.3577 Å, with angles of 90.00, 90.00 and 120.00 degrees. The inequivalent atoms are Mg at (0.0000, 0.0000, 0.0000), Tl at (0.3333, 0.6667, 0.3855), Se at (0.0000, 0.0000, 0.5000) and O at (0.1471, 0.2943, 0.7081).

***

Q: magnetization of number 2 (MgTl2Se2O6)?
A: 0.00 μB/f.u.